Entry 1:
Ba2NiOs2 PBE optimized geometry; energy above the most stable polymorph in this dataset = 745 meV per atom; M_tot = 0.000 μB/cell; V = 277.5 Å³/cell; ΔE_f = 129.6 kJ per mole of atoms
1.0
9.4819 0.0000 0.0000
0.0000 9.4819 0.0000
0.0000 0.0000 3.0862
Ba Ni Os
4 2 4
Direct
0.2012 0.2988 0.0000
0.2988 0.7988 0.0000
0.7012 0.2012 0.0000
0.7988 0.7012 0.0000
0.0000 0.0000 0.0000
0.5000 0.5000 0.0000
0.0834 0.5834 0.5000
0.4166 0.0834 0.5000
0.5834 0.9166 0.5000
0.9166 0.4166 0.5000

=====

Entry 2:
Pr8Sm3 PBE optimized geometry; energy above the most stable polymorph in this dataset = 414 meV per atom; M_tot = 0.000 μB/cell; V = 397.8 Å³/cell; ΔE_f = 41.2 kJ per mole of atoms
1.0
4.9897 2.8808 4.6125
-4.9897 2.8808 4.6125
0.0000 -5.7616 4.6125
Pr Sm
8 3
Direct
0.1188 0.1188 0.1188
0.1930 0.6124 0.3520
0.3520 0.1930 0.6124
0.3876 0.6480 0.8070
0.6124 0.3520 0.1930
0.6480 0.8070 0.3876
0.8070 0.3876 0.6480
0.8812 0.8812 0.8812
0.0000 0.0000 0.5000
0.0000 0.5000 0.0000
0.5000 0.0000 0.0000

=====

Entry 3:
Tb6CoHg PBE optimized geometry; M_tot = 0.000 μB/cell; V = 251.3 Å³/cell; ΔE_f = -0.4 kJ per mole of atoms
1.0
6.7687 0.0000 0.0000
-3.3829 5.9073 0.0000
-3.3318 -1.9520 6.2843
Tb Co Hg
6 1 1
Direct
0.0470 0.0899 0.2621
0.3043 0.7142 0.2612
0.3242 0.5411 0.7388
0.6758 0.4589 0.2612
0.6957 0.2858 0.7388
0.9530 0.9101 0.7379
0.5000 0.5000 0.5000
0.5000 0.0000 0.0000

=====

Entry 4:
PrCuNi2 PBE optimized geometry; M_tot = 0.000 μB/cell; V = 287.4 Å³/cell; ΔE_f = -6.1 kJ per mole of atoms
1.0
5.2571 0.0000 0.0000
0.0000 4.7471 0.0000
0.0000 0.0000 11.5165
Pr Cu Ni
4 4 8
Direct
0.2500 0.0000 0.1087
0.2500 0.5000 0.3872
0.7500 0.0000 0.8913
0.7500 0.5000 0.6128
0.2500 0.0000 0.8276
0.2500 0.5000 0.8251
0.7500 0.0000 0.1724
0.7500 0.5000 0.1749
0.0000 0.0000 0.5000
0.0000 0.5000 0.0000
0.2500 0.2484 0.6425
0.2500 0.7516 0.6425
0.5000 0.0000 0.5000
0.5000 0.5000 0.0000
0.7500 0.2484 0.3575
0.7500 0.7516 0.3575

=====

Entry 5:
EuPu2 PBE optimized geometry; M_tot = 40.827 μB/cell; V = 194.7 Å³/cell; ΔE_f = 29.5 kJ per mole of atoms
1.0
0.0000 4.6004 4.6004
4.6004 0.0000 4.6004
4.6004 4.6004 0.0000
Eu Pu
2 4
Direct
0.1250 0.1250 0.1250
0.8750 0.8750 0.8750
0.0000 0.5000 0.5000
0.5000 0.0000 0.5000
0.5000 0.5000 0.0000
0.5000 0.5000 0.5000

=====

Entry 6:
CrCd2Sb PBE optimized geometry; M_tot = 3.995 μB/cell; V = 87.4 Å³/cell; energy relative to the elements, uncorrected = 0.283 eV/atom
1.0
-2.1969 2.2003 4.5208
2.1969 -2.2003 4.5208
2.1969 2.2003 -4.5208
Cr Cd Sb
1 2 1
Direct
0.0000 0.0000 0.0000
0.4996 0.4996 0.0000
0.7501 0.2501 0.5000
0.2492 0.7492 0.5000

=====

Entry 7:
CsBaSnPb2 PBE optimized geometry; M_tot = 0.000 μB/cell; V = 239.1 Å³/cell; ΔE_f = 2.3 kJ per mole of atoms
1.0
6.0634 0.0000 0.0000
0.0000 6.0634 0.0000
0.0000 0.0000 6.5033
Cs Ba Sn Pb
1 1 1 2
Direct
0.0000 0.0000 0.0000
0.5000 0.5000 0.0000
0.5000 0.5000 0.5000
0.0000 0.5000 0.5000
0.5000 0.0000 0.5000

=====

Entry 8:
Be2CuAs2 PBE optimized geometry; energy above the most stable polymorph in this dataset = 211 meV per atom; M_tot = 0.000 μB/cell; V = 75.6 Å³/cell; ΔE_f = 49.4 kJ per mole of atoms
1.0
-1.9272 1.9272 5.0910
1.9272 -1.9272 5.0910
1.9272 1.9272 -5.0910
Be Cu As
2 1 2
Direct
0.1029 0.1029 0.0000
0.8971 0.8971 0.0000
0.5000 0.5000 0.0000
0.2500 0.7500 0.5000
0.7500 0.2500 0.5000

=====

Entry 9:
Sm12Dy6Ho PBE optimized geometry; energy above the most stable polymorph in this dataset = 0 meV per atom; M_tot = 0.000 μB/cell; V = 638.5 Å³/cell; ΔE_f = 13.7 kJ per mole of atoms
1.0
6.0310 3.4820 5.0673
-6.0310 3.4820 5.0673
0.0000 -6.9641 5.0673
Sm Dy Ho
12 6 1
Direct
0.0161 0.3607 0.1962
0.1962 0.0161 0.3607
0.2210 0.5661 0.4619
0.3607 0.1962 0.0161
0.4339 0.5381 0.7790
0.4619 0.2210 0.5661
0.5381 0.7790 0.4339
0.5661 0.4619 0.2210
0.6393 0.8038 0.9839
0.7790 0.4339 0.5381
0.8038 0.9839 0.6393
0.9839 0.6393 0.8038
0.0972 0.2599 0.6998
0.2599 0.6998 0.0972
0.3002 0.9028 0.7401
0.6998 0.0972 0.2599
0.7401 0.3002 0.9028
0.9028 0.7401 0.3002
0.0000 0.0000 0.0000

=====

Entry 10:
SnHg4Pb5 PBE optimized geometry; M_tot = 0.000 μB/cell; V = 285.3 Å³/cell; ΔE_f = 3.0 kJ per mole of atoms
1.0
3.8525 0.0000 0.0000
0.0000 3.8525 0.0000
0.0000 0.0000 19.2224
Sn Hg Pb
1 4 5
Direct
0.0000 0.0000 0.0000
0.0000 0.0000 0.2042
0.0000 0.0000 0.4011
0.0000 0.0000 0.5989
0.0000 0.0000 0.7958
0.5000 0.5000 0.1009
0.5000 0.5000 0.3031
0.5000 0.5000 0.5000
0.5000 0.5000 0.6969
0.5000 0.5000 0.8991

=====

Entry 11:
KLaAs2 PBE optimized geometry; energy above the most stable polymorph in this dataset = 311 meV per atom; M_tot = 0.001 μB/cell; V = 108.4 Å³/cell; ΔE_f = -54.9 kJ per mole of atoms
1.0
0.0000 3.7849 3.7849
3.7849 0.0000 3.7849
3.7849 3.7849 0.0000
K La As
1 1 2
Direct
0.0000 0.0000 0.0000
0.5000 0.5000 0.5000
0.2500 0.2500 0.2500
0.7500 0.7500 0.7500

=====

Entry 12:
NiPbC3 PBE optimized geometry; energy above the most stable polymorph in this dataset = 0 meV per atom; M_tot = 0.002 μB/cell; V = 61.7 Å³/cell; ΔE_f = 217.2 kJ per mole of atoms
1.0
3.9507 0.0000 0.0000
0.0000 3.9507 0.0000
0.0000 0.0000 3.9507
Ni Pb C
1 1 3
Direct
0.0000 0.0000 0.0000
0.5000 0.5000 0.5000
0.0000 0.0000 0.5000
0.0000 0.5000 0.0000
0.5000 0.0000 0.0000